[1]
Compound: Ta3Mn2Nb
Source: the Alexandria database
Functional: PBE
Structure: relaxed

Lattice parameters (Å, degrees): 3.118 3.118 9.698 90.00 90.00 90.00
Sites, in units of the cell vectors:
Ta 0.000 0.000 0.000
Ta 0.000 0.000 0.313
Ta 0.000 0.000 0.687
Mn 0.500 0.500 0.157
Mn 0.500 0.500 0.843
Nb 0.500 0.500 0.500

electronic total energy	-10.79	eV/atom

[2]
Compound: Cd2Ag6Au
Source: the Alexandria database
Functional: PBE
Structure: relaxed

Lattice parameters (Å, degrees): 5.168 5.168 9.020 107.97 107.97 47.15
Sites, in units of the cell vectors:
Cd 0.166 0.166 0.223
Cd 0.834 0.834 0.777
Ag 0.165 0.165 0.553
Ag 0.168 0.168 0.888
Ag 0.498 0.498 0.334
Ag 0.502 0.502 0.666
Ag 0.832 0.832 0.112
Ag 0.835 0.835 0.447
Au 0.500 0.500 0.000

excess energy over the best structure of this formula in the dataset	0	meV/atom

[3]
Compound: Zr3InSn
Source: the Alexandria database
Functional: PBE
Structure: relaxed

Lattice parameters (Å, degrees): 5.279 5.279 5.279 90.00 90.00 90.00
Sites, in units of the cell vectors:
Zr 0.000 0.000 0.500
Zr 0.000 0.500 0.000
Zr 0.500 0.000 0.000
In 0.500 0.500 0.500
Sn 0.000 0.000 0.000

excess energy over the best structure of this formula in the dataset	942	meV/atom

[4]
Compound: LiHgAs2Ru
Source: the Alexandria database
Functional: PBE
Structure: relaxed

Lattice parameters (Å, degrees): 4.693 4.693 5.160 90.00 90.00 90.00
Sites, in units of the cell vectors:
Li 0.000 0.000 0.000
Hg 0.500 0.500 0.000
As 0.000 0.500 0.500
As 0.500 0.000 0.500
Ru 0.000 0.000 0.500

electronic total energy	-4.06	eV/atom

[5]
Compound: ZrMoP
Source: the Alexandria database
Functional: PBE
Structure: relaxed

Lattice parameters (Å, degrees): 4.243 4.243 4.243 60.00 60.00 60.00
Sites, in units of the cell vectors:
Zr 0.000 0.000 0.000
Mo 0.500 0.500 0.500
P 0.250 0.250 0.250

excess energy over the best structure of this formula in the dataset	653	meV/atom

[6]
Compound: MgC3F
Source: the Alexandria database
Functional: PBE
Structure: relaxed

Lattice parameters (Å, degrees): 4.184 4.184 4.184 90.00 90.00 90.00
Sites, in units of the cell vectors:
Mg 0.000 0.000 0.000
C 0.000 0.000 0.500
C 0.000 0.500 0.000
C 0.500 0.000 0.000
F 0.500 0.500 0.500

excess energy over the best structure of this formula in the dataset	368	meV/atom
uncorrected formation energy	3.1273	eV per atom

[7]
Compound: Cr2CoBr
Source: the Alexandria database
Functional: PBE
Structure: relaxed

Lattice parameters (Å, degrees): 8.007 8.007 8.007 20.23 20.23 20.23
Sites, in units of the cell vectors:
Cr 0.247 0.247 0.247
Cr 0.753 0.753 0.753
Co 0.500 0.500 0.500
Br 0.000 0.000 0.000

excess energy over the best structure of this formula in the dataset	352	meV/atom
uncorrected formation energy	0.8030	eV per atom

[8]
Compound: RbCaSnCl5
Source: the Alexandria database
Functional: PBE
Structure: relaxed

Lattice parameters (Å, degrees): 7.726 7.726 10.481 106.07 106.07 97.51
Sites, in units of the cell vectors:
Rb 0.076 0.924 0.750
Rb 0.924 0.076 0.250
Ca 0.000 0.500 0.000
Ca 0.500 0.000 0.500
Sn 0.492 0.508 0.750
Sn 0.508 0.492 0.250
Cl 0.175 0.237 0.069
Cl 0.227 0.773 0.250
Cl 0.237 0.175 0.569
Cl 0.279 0.619 0.901
Cl 0.381 0.721 0.599
Cl 0.619 0.279 0.401
Cl 0.721 0.381 0.099
Cl 0.763 0.825 0.431
Cl 0.773 0.227 0.750
Cl 0.825 0.763 0.931

uncorrected formation energy	-1.7565	eV per atom

[9]
Compound: Cs4LiU3S12
Source: the Alexandria database
Functional: PBE
Structure: relaxed

Lattice parameters (Å, degrees): 9.087 9.087 9.087 109.47 109.47 109.47
Sites, in units of the cell vectors:
Cs 0.000 0.000 0.500
Cs 0.000 0.500 0.000
Cs 0.500 0.000 0.000
Cs 0.500 0.500 0.500
Li 0.000 0.000 0.000
U 0.000 0.500 0.500
U 0.500 0.000 0.500
U 0.500 0.500 0.000
S 0.000 0.267 0.267
S 0.000 0.733 0.733
S 0.250 0.500 0.750
S 0.250 0.750 0.500
S 0.267 0.000 0.267
S 0.267 0.267 0.000
S 0.500 0.250 0.750
S 0.500 0.750 0.250
S 0.733 0.000 0.733
S 0.733 0.733 0.000
S 0.750 0.250 0.500
S 0.750 0.500 0.250

uncorrected formation energy	-1.2118	eV per atom

[10]
Compound: CeHo2Tl5
Source: the Alexandria database
Functional: PBE
Structure: relaxed

Lattice parameters (Å, degrees): 6.661 6.661 6.661 106.85 106.85 114.86
Sites, in units of the cell vectors:
Ce 0.000 0.000 0.000
Ho 0.001 0.501 0.500
Ho 0.501 0.001 0.500
Tl 0.001 0.001 0.500
Tl 0.001 0.500 0.000
Tl 0.500 0.001 0.000
Tl 0.500 0.500 0.500
Tl 0.501 0.501 0.000

electronic total energy	-3.58	eV/atom

[11]
Compound: TbSm4Er
Source: the Alexandria database
Functional: PBE
Structure: relaxed

Lattice parameters (Å, degrees): 8.227 8.227 3.460 90.00 90.00 90.04
Sites, in units of the cell vectors:
Tb 0.000 0.000 0.000
Sm 0.240 0.240 0.500
Sm 0.262 0.738 0.000
Sm 0.738 0.262 0.000
Sm 0.760 0.760 0.500
Er 0.500 0.500 0.500

excess energy over the best structure of this formula in the dataset	631	meV/atom

[12]
Compound: MgBeTl
Source: the Alexandria database
Functional: PBE
Structure: relaxed

Lattice parameters (Å, degrees): 4.362 4.362 4.362 60.00 60.00 60.00
Sites, in units of the cell vectors:
Mg 0.000 0.000 0.000
Be 0.250 0.250 0.250
Tl 0.500 0.500 0.500

excess energy over the best structure of this formula in the dataset	112	meV/atom